VASP calculation (PBE) on crystalline SrCu2Pt at its relaxed geometry.

extended XYZ file:
```
4
Lattice="3.767 -2.176 0.000 3.767 2.176 0.000 -2.523 0.000 5.186" Properties=species:S:1:pos:R:3 pbc="T T T"
Sr 0.000 0.000 0.000
Cu -0.010 0.000 2.911
Cu 2.502 0.000 2.522
Pt 5.012 0.000 2.158
```

Summary:
Energy relative to the lowest polymorph listed for this composition = 7 meV per atom
Uncorrected energy = -17.38 eV per cell
Formation enthalpy at 0 K = -0.37 eV per atom

=====

VASP calculation (PBE) on crystalline Pr4TlTe3 at its relaxed geometry.

extended XYZ file:
```
8
Lattice="4.562 -6.420 0.000 4.562 6.420 0.000 0.000 0.000 4.541" Properties=species:S:1:pos:R:3 pbc="T T T"
Pr 2.243 0.000 2.271
Pr 4.562 3.261 0.000
Pr 4.562 -3.261 0.000
Pr 6.880 0.000 2.271
Tl 0.000 0.000 0.000
Te 2.281 3.210 2.271
Te 2.281 -3.210 2.271
Te 4.562 0.000 0.000
```

Summary:
Energy relative to the lowest polymorph listed for this composition = 19 meV per atom
Formation energy without anion corrections = -1.200 eV/atom
Uncorrected energy = -40.51 eV per cell

=====

VASP calculation (PBE) on crystalline Ho2ErSi2Pt7 at its relaxed geometry.

extended XYZ file:
```
12
Lattice="2.855 -2.832 0.000 2.855 2.832 0.000 -2.141 0.000 13.595" Properties=species:S:1:pos:R:3 pbc="T T T"
Ho -0.076 0.000 4.844
Ho 3.645 0.000 8.750
Er 0.000 0.000 0.000
Si 0.708 0.000 10.086
Si 2.861 0.000 3.509
Pt 1.433 1.415 2.190
Pt 0.848 0.000 7.766
Pt 2.136 1.415 11.405
Pt 2.855 0.000 0.000
Pt 1.433 -1.415 2.190
Pt 2.721 0.000 5.829
Pt 2.136 -1.415 11.405
```

Summary:
Formation energy without anion corrections = -1.139 eV/atom
Uncorrected energy = -80.52 eV per cell

=====

VASP calculation (PBE) on crystalline Y3ErTl2S at its relaxed geometry.

extended XYZ file:
```
7
Lattice="-2.516 2.531 7.999 2.516 -2.531 7.999 2.516 2.531 -7.999" Properties=species:S:1:pos:R:3 pbc="T T T"
Y 0.000 0.000 0.000
Y 2.516 0.000 5.245
Y 0.000 2.531 2.754
Er 0.000 0.000 7.999
Tl 2.516 0.000 2.129
Tl 0.000 2.531 5.869
S 0.000 2.531 0.000
```

Summary:
Formation energy without anion corrections = -0.684 eV/atom
Uncorrected energy = -37.60 eV per cell

=====

VASP calculation (PBE) on crystalline GaHSeN2 at its relaxed geometry.

extended XYZ file:
```
5
Lattice="4.083 0.000 0.000 0.000 4.083 0.000 0.000 0.000 3.188" Properties=species:S:1:pos:R:3 pbc="T T T"
Ga 0.000 0.000 0.000
H 2.041 2.041 1.594
Se 2.041 2.041 0.000
N 0.000 2.041 1.594
N 2.041 0.000 1.594
```

Summary:
Energy relative to the lowest polymorph listed for this composition = 109 meV per atom
Uncorrected energy = -17.48 eV per cell

=====

VASP calculation (PBE) on crystalline EuGa2Ge4 at its relaxed geometry.

extended XYZ file:
```
14
Lattice="2.104 -5.653 0.000 2.104 5.653 0.000 0.000 0.000 13.386" Properties=species:S:1:pos:R:3 pbc="T T T"
Eu 2.104 3.251 10.040
Eu 2.104 -3.251 3.347
Ga 2.104 0.235 1.233
Ga 2.104 0.235 5.460
Ga 2.104 -0.235 7.926
Ga 2.104 -0.235 12.153
Ge 2.104 4.878 2.094
Ge 2.104 4.878 4.599
Ge 2.104 2.711 0.730
Ge 2.104 2.711 5.963
Ge 2.104 -2.711 7.424
Ge 2.104 -2.711 12.656
Ge 2.104 -4.878 8.787
Ge 2.104 -4.878 11.292
```

Summary:
Energy relative to the lowest polymorph listed for this composition = 19 meV per atom
Uncorrected energy = -72.58 eV per cell
Formation enthalpy at 0 K = -0.21 eV per atom

=====

VASP calculation (PBE) on crystalline Na3Ga2As4 at its relaxed geometry.

extended XYZ file:
```
9
Lattice="8.148 -2.007 0.000 8.148 2.007 0.000 -3.058 0.000 6.529" Properties=species:S:1:pos:R:3 pbc="T T T"
Na 0.000 0.000 0.000
Na 0.100 0.000 5.047
Na 13.138 0.000 1.483
Ga 3.589 0.000 3.939
Ga 9.649 0.000 2.591
As 2.650 0.000 1.537
As 6.078 0.000 4.326
As 7.160 0.000 2.204
As 10.588 0.000 4.992
```

Summary:
Uncorrected energy = -31.90 eV per cell
Formation enthalpy at 0 K = -0.37 eV per atom

=====

VASP calculation (PBE) on crystalline Ac6La2Y at its relaxed geometry.

extended XYZ file:
```
9
Lattice="6.312 -3.829 0.000 6.312 3.829 0.000 -1.423 0.000 8.000" Properties=species:S:1:pos:R:3 pbc="T T T"
Ac 3.986 1.969 5.197
Ac 0.740 0.000 6.908
Ac 7.215 1.969 2.802
Ac 3.986 -1.969 5.197
Ac 10.461 0.000 1.091
Ac 7.215 -1.969 2.802
La 4.023 0.000 2.124
La 7.178 0.000 5.876
Y 6.312 0.000 0.000
```

Summary:
Energy relative to the lowest polymorph listed for this composition = 118 meV per atom
Uncorrected energy = -39.24 eV per cell
Formation enthalpy at 0 K = 0.19 eV per atom

=====

VASP calculation (PBE) on crystalline ErTlIrO6 at its relaxed geometry.

extended XYZ file:
```
18
Lattice="5.543 0.000 0.000 -2.771 4.800 0.000 0.000 0.000 9.252" Properties=species:S:1:pos:R:3 pbc="T T T"
Er 0.000 3.200 2.313
Er 2.771 1.600 6.939
Tl 0.000 0.000 0.000
Tl 0.000 0.000 4.626
Ir 0.000 3.200 6.939
Ir 2.771 1.600 2.313
O -0.852 1.829 5.843
O -1.614 3.148 8.036
O 0.852 1.829 8.036
O -0.762 4.623 5.843
O 2.010 0.177 1.217
O 1.158 1.652 3.410
O 1.614 3.148 5.843
O 0.762 4.623 8.036
O 3.533 0.177 3.410
O 1.920 2.972 1.217
O 4.385 1.652 1.217
O 3.623 2.972 3.410
```

Summary:
Formation energy without anion corrections = -1.376 eV/atom
Uncorrected energy = -115.84 eV per cell

=====

VASP calculation (PBE) on crystalline Rb2PtN2 at its relaxed geometry.

extended XYZ file:
```
10
Lattice="8.844 0.000 0.000 0.000 8.844 0.000 0.000 0.000 3.147" Properties=species:S:1:pos:R:3 pbc="T T T"
Rb 1.451 2.971 0.000
Rb 2.971 7.393 0.000
Rb 5.873 1.451 0.000
Rb 7.393 5.873 0.000
Pt 0.000 0.000 0.000
Pt 4.422 4.422 0.000
N 1.134 5.556 1.574
N 3.288 1.134 1.574
N 5.556 7.710 1.574
N 7.710 3.288 1.574
```

Summary:
Energy relative to the lowest polymorph listed for this composition = 312 meV per atom
Formation energy without anion corrections = 1.769 eV/atom
Uncorrected energy = -31.56 eV per cell

=====

VASP calculation (PBE) on crystalline BaIrOs2 at its relaxed geometry.

extended XYZ file:
```
4
Lattice="-1.454 2.653 5.130 1.454 -2.653 5.130 1.454 2.653 -5.130" Properties=species:S:1:pos:R:3 pbc="T T T"
Ba 0.000 0.000 0.000
Ir 1.454 0.000 2.943
Os 0.000 0.000 5.175
Os 0.000 2.653 2.151
```

Summary:
Energy relative to the lowest polymorph listed for this composition = 806 meV per atom
Uncorrected energy = -28.90 eV per cell
Formation enthalpy at 0 K = 1.09 eV per atom

=====

What are the DOS(E_F) values for these records? In order: 0.492; 0.368; 0.384; 0.658; 0.508; 1.480; 0.298; 1.627; 0.538; 1.138; 1.242 states/eV/atom.